Here is an optimized crystal structure of BiBAs3 from Alexandria via LeMat-Bulk. Energies are from GGA-PBE.

abc: 4.5778 4.5778 4.5778
angles: 90.00 90.00 90.00
Space group Pm-3m (No. 221)
Inequivalent atoms, fractional coordinates:
Bi 0.0000 0.0000 0.0000
B 0.5000 0.5000 0.5000
As 0.0000 0.5000 0.5000

offset from the most stable computed form	0.0000	eV/atom
formation enthalpy at 0 K	0.66	eV/atom
E	-4.243	eV/atom
magnetization	0.0	μB per cell